Entry 1:
The following is a PBE calculation of UIn4 after structural relaxation, from Alexandria via LeMat-Bulk.

Summary:
- SG = Pm-3m
- density of states at the Fermi level (states/eV per cell) = 15.3
- crystal system = cubic
- DFT formation energy (eV per atom) = 1.037

Unit cell a=5.9603 b=5.9603 c=5.9603 alpha=90.00 beta=90.00 gamma=90.00
Last column: nearest neighbours and their distance in Å.
Atoms (fractional coordinates):
U  0.5000  0.5000  0.5000  6 In 2.98
In  0.5000  0.5000  0.0000  2 U 2.98
In  0.5000  0.0000  0.5000  2 U 2.98
In  0.0000  0.5000  0.5000  2 U 2.98
In  0.0000  0.0000  0.0000  12 In 4.21


Entry 2:
The following is a PBE calculation of U6In after structural relaxation, from Alexandria via LeMat-Bulk.

Summary:
- SG = Im-3m
- density of states at the Fermi level (states/eV per cell) = 26.9
- crystal system = cubic
- DFT formation energy (eV per atom) = 1.040

Unit cell a=6.1709 b=6.1709 c=6.1709 alpha=109.47 beta=109.47 gamma=109.47
Last column: nearest neighbours and their distance in Å.
Atoms (fractional coordinates):
U  0.5000  0.7500  0.2500  4 U 2.52
U  0.2500  0.7500  0.5000  4 U 2.52
U  0.7500  0.5000  0.2500  4 U 2.52
U  0.2500  0.5000  0.7500  4 U 2.52
U  0.5000  0.2500  0.7500  4 U 2.52
U  0.7500  0.2500  0.5000  4 U 2.52
In  0.0000  0.0000  0.0000  24 U 3.98


Entry 3:
The following is a PBE calculation of UIn3 after structural relaxation, from Alexandria via LeMat-Bulk.

Summary:
- SG = Pmm2
- density of states at the Fermi level (states/eV per cell) = 5.2
- crystal system = orthorhombic
- DFT formation energy (eV per atom) = 0.126

Unit cell a=2.9835 b=5.6162 c=6.0085 alpha=90.00 beta=90.00 gamma=90.00
Last column: nearest neighbours and their distance in Å.
Atoms (fractional coordinates):
In  0.5000  0.0000  0.5107  2 In 2.98, 2 U 3.34
In  0.0000  0.5000  0.3203  4 In 2.98-3.32
In  0.5000  0.5000  0.8274  4 In 2.98-3.32
U  0.0000  0.0000  0.0082  2 U 2.98, 2 In 3.34


Entry 4:
The following is a PBE calculation of U2In after structural relaxation, from Alexandria via LeMat-Bulk.

Summary:
- SG = Fd-3m
- density of states at the Fermi level (states/eV per cell) = 13.6
- crystal system = cubic
- DFT formation energy (eV per atom) = 0.307

Unit cell a=5.7573 b=5.7573 c=5.7573 alpha=60.00 beta=60.00 gamma=60.00
Last column: nearest neighbours and their distance in Å.
Atoms (fractional coordinates):
U  0.6250  0.6250  0.6250  6 U 2.88
U  0.1250  0.6250  0.6250  6 U 2.88
U  0.6250  0.1250  0.6250  6 U 2.88
U  0.6250  0.6250  0.1250  6 U 2.88
In  0.2500  0.2500  0.2500  12 U 3.38, 4 In 3.53
In  0.0000  0.0000  0.0000  12 U 3.38, 4 In 3.53


Mass density (g/cm³)
5.47 14.16 9.61 14.54
DFT total energy (eV per atom)
-3.412 -9.027 -4.750 -8.131